Cs3TmTh3Se8, relaxed, DFT PBE-GGA; space group = R-3m (166); VASP energy = -5.44 eV/atom; ΔE_f (raw) = -1.629 eV/atom
1.0
-0.055 2.550 -8.104
-5.421 -6.001 2.602
-2.168 9.244 2.924
Cs Tm Th Se
3 1 3 8
Cartesian
0.000 0.000 0.000 Cs
-2.711 -3.001 1.301 Cs
-2.738 -1.725 -2.751 Cs
-1.084 4.622 1.462 Tm
-1.111 5.897 -2.590 Th
-3.822 2.897 -1.289 Th
-3.794 1.621 2.763 Th
-3.572 0.272 0.110 Se
-4.072 5.521 -2.688 Se
-3.707 1.578 -3.932 Se
-3.936 4.215 1.353 Se
-0.933 4.650 -5.264 Se
-6.711 1.143 2.685 Se
-0.905 3.344 -1.115 Se
-6.739 2.449 -1.464 Se